Record 1
This record from Alexandria describes SrTa2Ni after structural relaxation. The functional is PBE.

## Properties
E_form: 448 meV/atom
magnetization: 0.0 Bohr magnetons per cell
total DFT energy (no corrections): -7.344 eV/atom

Cell lengths 6.2258, 6.2258, 4.9595 Å; angles 66.50, 66.50, 27.16 degrees
Fractional coordinates of all 4 atoms:
Ni 0.2500 0.2500 0.2500
Sr 0.7500 0.7500 0.7500
Ta 0.9595 0.9595 0.0405
Ta 0.5405 0.5405 0.4595

---

Record 2
This record from Alexandria describes SrTa2Ni after structural relaxation. The functional is PBE.

## Properties
E_form: 956 meV/atom
magnetization: 0.0 Bohr magnetons per cell
total DFT energy (no corrections): -6.836 eV/atom

Cell lengths 5.8554, 5.8554, 2.8316 Å; angles 90.00, 90.00, 124.67 degrees
Fractional coordinates of all 4 atoms:
Ni 0.5000 0.0000 0.5000
Sr 0.0000 0.5000 0.5000
Ta 0.0000 0.0000 0.0000
Ta 0.5000 0.5000 0.0000

---

Record 3
This record from Alexandria describes SrTa2Ni after structural relaxation. The functional is PBE.

## Properties
E_form: 749 meV/atom
magnetization: 0.0 Bohr magnetons per cell
total DFT energy (no corrections): -7.043 eV/atom

Cell lengths 3.2200, 4.5807, 5.4687 Å; angles 90.00, 90.00, 90.00 degrees
Fractional coordinates of all 4 atoms:
Ni 0.5000 0.0000 0.5000
Sr 0.0000 0.5000 0.5000
Ta 0.0000 0.0000 0.0000
Ta 0.5000 0.5000 0.0000

---

Record 4
This record from Alexandria describes SrTa2Ni after structural relaxation. The functional is PBE.

## Properties
E_form: 880 meV/atom
magnetization: 0.6 Bohr magnetons per cell
total DFT energy (no corrections): -6.912 eV/atom

Cell lengths 4.8052, 4.8052, 4.8052 Å; angles 120.00, 120.00, 90.01 degrees
Site moments in Bohr magnetons follow the coordinates.
Fractional coordinates of all 4 atoms:
Ni 0.5000 0.5000 0.0000  0.25
Sr 0.7500 0.2500 0.5000  0.01
Ta 0.0000 0.0000 0.0000  0.16
Ta 0.2500 0.7500 0.5000  0.09

---

Record 5
This record from Alexandria describes Sr2TaNi after structural relaxation. The functional is PBE.

## Properties
E_form: 518 meV/atom
magnetization: 0.0 Bohr magnetons per cell
total DFT energy (no corrections): -4.731 eV/atom

Cell lengths 6.6051, 6.6051, 5.5109 Å; angles 65.31, 65.31, 31.38 degrees
Fractional coordinates of all 4 atoms:
Ni 0.2074 0.2074 0.2934
Sr 0.9634 0.9634 0.0361
Sr 0.7579 0.7579 0.7421
Ta 0.5713 0.5713 0.4284

---

Record 6
This record from Alexandria describes SrTa3Ni after structural relaxation. The functional is PBE.

## Properties
E_form: 1025 meV/atom
magnetization: 0.0 Bohr magnetons per cell
total DFT energy (no corrections): -7.579 eV/atom

Cell lengths 4.8060, 4.8060, 4.8060 Å; angles 90.00, 90.00, 90.00 degrees
Fractional coordinates of all 5 atoms:
Sr 0.5000 0.5000 0.5000
Ni 0.0000 0.0000 0.0000
Ta 0.0000 0.5000 0.0000
Ta 0.0000 0.0000 0.5000
Ta 0.5000 0.0000 0.0000

---

Which formula does entry 5 have?
Sr2TaNi

---

What is the magnetization in the sixth record?
0.0 Bohr magnetons per cell